Record 1
5
Lattice="3.949 0.000 0.000 0.000 3.949 0.000 -1.974 -1.974 6.363" Properties=species:S:1:pos:R:3 comment="UPaBiO2, optimized geometry, DFT PBE-GGA" final_energy_ev_per_atom=-9.0444 raw_formation_energy_kj_per_mol_fu=-1027 magnetic_moment_mub_per_fu=4.0 pbc="T T T"
U 0.000 0.000 1.907
Pa 1.974 1.974 4.411
Bi 0.000 0.000 6.357
O 1.974 0.000 3.208
O 0.000 1.974 3.208

Record 2
12
Lattice="6.982 -0.002 0.000 -3.491 6.047 0.000 -1.165 -2.017 6.618" Properties=species:S:1:pos:R:3 comment="Dy3Sc2PaAs6, optimized geometry, DFT PBE-GGA" e_form_ev_per_fu=-16.837 final_energy_ev_per_atom=-6.7250 magnetic_moment_mub_per_fu=0.0 pbc="T T T"
Dy -2.339 4.037 3.309
Dy 4.666 -0.009 3.309
Dy 1.163 2.014 3.309
Sc -0.002 4.032 0.000
Sc 3.493 2.013 0.000
Pa 0.000 0.000 0.000
As 3.507 1.986 5.032
As 2.311 4.002 1.568
As -1.181 2.042 1.586
As -0.032 4.031 5.032
As 0.015 0.027 5.049
As 2.359 -0.002 1.586